(1)
SrYOsBr2: PBEsol geometry, SCAN.

E: -31.547 eV/atom
Space group: P4/mmm (123)
Calculated density: 6.16 g cm⁻³
Raw formation energy: 0.636 eV/atom

Unit cell a=5.0558 b=5.0558 c=5.5562 alpha=90.00 beta=90.00 gamma=90.00
Positions (direct):
Y 0.5000 0.5000 0.5000
Sr 0.0000 0.0000 0.5000
Os 0.0000 0.0000 0.0000
Br 0.0000 0.5000 0.0000
Br 0.5000 0.0000 0.0000

(2)
TaOsBr2: PBEsol geometry, SCAN.

E: -43.101 eV/atom
Space group: Cmmm (65)
Polymorph energy (0 for the lowest one): 0.0 meV per atom
Calculated density: 12.16 g cm⁻³
Raw formation energy: 1.244 eV/atom

Unit cell a=2.9125 b=3.1123 c=9.0516 alpha=90.00 beta=90.00 gamma=117.90
Positions (direct):
Os 0.5000 0.0000 0.5000
Br 0.0000 0.0000 0.7507
Br 0.0000 0.0000 0.2493
Ta 0.5000 0.0000 0.0000

(3)
TaOs2Br: PBEsol geometry, SCAN.

E: -56.588 eV/atom
Space group: Pmmm (47)
Polymorph energy (0 for the lowest one): 175.7 meV per atom
Calculated density: 17.15 g cm⁻³
Raw formation energy: 0.863 eV/atom

Unit cell a=2.9184 b=4.5386 c=4.6874 alpha=90.00 beta=90.00 gamma=90.00
Positions (direct):
Os 0.0000 0.0000 0.0000
Os 0.5000 0.0000 0.5000
Br 0.0000 0.5000 0.5000
Ta 0.5000 0.5000 0.0000

(4)
TaOs2Br: PBEsol geometry, SCAN.

E: -56.763 eV/atom
Space group: C2/m (12)
Polymorph energy (0 for the lowest one): 0.0 meV per atom
Calculated density: 16.68 g cm⁻³
Raw formation energy: 0.687 eV/atom

Unit cell a=2.8920 b=4.5045 c=5.1179 alpha=92.98 beta=106.41 gamma=90.00
Positions (direct):
Os 0.2232 0.2308 0.4465
Os 0.7768 0.7692 0.5535
Br 0.0000 0.5000 0.0000
Ta 0.5000 0.0000 0.0000

(5)
TaOs2Br: PBEsol geometry, SCAN.

E: -56.259 eV/atom
Space group: I-4m2 (119)
Polymorph energy (0 for the lowest one): 504.4 meV per atom
Calculated density: 16.86 g cm⁻³
Raw formation energy: 1.192 eV/atom

Unit cell a=3.8616 b=3.8616 c=5.0404 alpha=112.52 beta=112.52 gamma=90.00
Positions (direct):
Os 0.0000 0.0000 0.0000
Os 0.7500 0.2500 0.5000
Br 0.2500 0.7500 0.5000
Ta 0.5000 0.5000 0.0000

(6)
TaOsBr2: PBEsol geometry, SCAN.

E: -42.912 eV/atom
Space group: Fm-3m (225)
Polymorph energy (0 for the lowest one): 189.1 meV per atom
Calculated density: 13.44 g cm⁻³
Raw formation energy: 1.434 eV/atom

Unit cell a=4.5271 b=4.5271 c=4.5271 alpha=60.00 beta=60.00 gamma=60.00
Positions (direct):
Os 0.0000 0.0000 0.0000
Br 0.2500 0.2500 0.2500
Br 0.7500 0.7500 0.7500
Ta 0.5000 0.5000 0.5000